Material: Ce4HRh2
Method: DFT, PBE
State: relaxed

Summary:
- Offset from the most stable computed form: 0 meV per atom
- Raw total energy: -6.4077 eV per atom
- DOS at the Fermi energy: 42.60 states/eV per cell

abc: 7.8430 7.8430 7.8430
angles: 119.95 119.95 90.08
Closest atoms and distances in Å follow each position.
Element x y z (fractional)
Ce: 0.2531 0.7464 0.5067  1 H 2.34
Ce: 0.2536 0.2603 0.5067  1 H 2.34
Ce: 0.2536 0.7469 0.9933  1 H 2.34
Ce: 0.2603 0.2536 0.0067  1 H 2.34
Ce: 0.7397 0.7464 0.9933  1 H 2.34
Ce: 0.7464 0.2531 0.0067  1 H 2.34
Ce: 0.7464 0.7397 0.4933  1 H 2.34
Ce: 0.7469 0.2536 0.4933  1 H 2.34
H: 0.3750 0.6250 0.7500  4 Ce 2.34
H: 0.6250 0.3750 0.2500  4 Ce 2.34
Rh: 0.0000 0.0000 0.0000  6 Ce 2.81
Rh: 0.0000 0.0000 0.5000  6 Ce 2.81
Rh: 0.0000 0.5000 0.0000  6 Ce 2.81
Rh: 0.5000 0.0000 0.5000  6 Ce 2.81

***

Material: KTlNi
Method: DFT, PBE
State: relaxed

Summary:
- Formation enthalpy at 0 K: 0.24 eV per atom
- Raw total energy: -2.8398 eV per atom
- DOS at the Fermi energy: 1.56 states/eV per cell

abc: 6.7477 6.7477 6.7477
angles: 148.26 148.26 45.51
Closest atoms and distances in Å follow each position.
Element x y z (fractional)
K: 0.0000 0.0000 0.0000  1 Ni 3.18, 1 Tl 3.32
Tl: 0.7329 0.7329 0.0000  4 Ni 2.63
Ni: 0.2559 0.2559 0.0000  4 Tl 2.63

***

Material: YSi2Mo2
Method: DFT, PBE
State: relaxed

Summary:
- Offset from the most stable computed form: 0 meV per atom
- Raw total energy: -8.1128 eV per atom
- Formation energy (no corrections): -318.4 meV/atom
- DOS at the Fermi energy: 9.37 states/eV per cell

abc: 7.1607 7.1607 3.2697
angles: 90.00 90.00 90.00
Closest atoms and distances in Å follow each position.
Element x y z (fractional)
Y: 0.0000 0.0000 0.0000  4 Si 2.82
Y: 0.5000 0.5000 0.0000  4 Si 2.82
Si: 0.1284 0.3716 0.0000  1 Si 2.60, 6 Mo 2.60-2.75, 2 Y 2.82
Si: 0.3716 0.8716 0.0000  1 Si 2.60, 6 Mo 2.60-2.75, 2 Y 2.82
Si: 0.6284 0.1284 0.0000  1 Si 2.60, 6 Mo 2.60-2.75, 2 Y 2.82
Si: 0.8716 0.6284 0.0000  1 Si 2.60, 6 Mo 2.60-2.75, 2 Y 2.82
Mo: 0.1534 0.6534 0.5000  6 Si 2.60-2.75
Mo: 0.3466 0.1534 0.5000  6 Si 2.60-2.75
Mo: 0.6534 0.8466 0.5000  6 Si 2.60-2.75
Mo: 0.8466 0.3466 0.5000  6 Si 2.60-2.75

***

Material: YMo
Method: DFT, PBE
State: relaxed

Summary:
- Offset from the most stable computed form: 257 meV per atom
- Formation enthalpy at 0 K: 0.39 eV per atom
- Raw total energy: -8.2553 eV per atom
- DOS at the Fermi energy: 4.17 states/eV per cell

abc: 9.9905 9.9905 9.9905
angles: 19.00 19.00 19.00
Closest atoms and distances in Å follow each position.
Element x y z (fractional)
Y: 0.1117 0.1117 0.1117  3 Mo 3.09, 6 Y 3.30
Y: 0.8883 0.8883 0.8883  3 Mo 3.09, 6 Y 3.30
Mo: 0.3622 0.3622 0.3622  3 Mo 2.55
Mo: 0.6378 0.6378 0.6378  3 Mo 2.55

***

Material: Cs2AgH6Ir
Method: DFT, PBE
State: relaxed

Summary:
- Raw total energy: -3.6411 eV per atom
- DOS at the Fermi energy: 0.00 states/eV per cell

abc: 6.2376 6.2376 5.3861
angles: 90.00 90.00 120.00
Closest atoms and distances in Å follow each position.
Element x y z (fractional)
Cs: 0.3333 0.6667 0.2558  9 H 3.16-3.17
Cs: 0.6667 0.3333 0.7442  9 H 3.16-3.17
Ag: 0.0000 0.0000 0.5000  6 H 2.28
H: 0.1321 0.2641 0.8300  1 Ir 1.70
H: 0.1321 0.8679 0.8300  1 Ir 1.70
H: 0.2641 0.1321 0.1700  1 Ir 1.70
H: 0.7359 0.8679 0.8300  1 Ir 1.70
H: 0.8679 0.1321 0.1700  1 Ir 1.70
H: 0.8679 0.7359 0.1700  1 Ir 1.70
Ir: 0.0000 0.0000 0.0000  6 H 1.70

***

Material: PmErTcAg
Method: DFT, PBE
State: relaxed

Summary:
- Formation enthalpy at 0 K: -0.07 eV per atom
- Raw total energy: -5.7038 eV per atom
- DOS at the Fermi energy: 3.61 states/eV per cell

abc: 5.0131 5.0131 5.0131
angles: 60.00 60.00 60.00
Closest atoms and distances in Å follow each position.
Element x y z (fractional)
Pm: 0.0000 0.0000 0.0000  4 Tc 3.07, 4 Ag 3.07
Er: 0.5000 0.5000 0.5000  4 Tc 3.07, 4 Ag 3.07
Tc: 0.7500 0.7500 0.7500  4 Er 3.07, 4 Pm 3.07
Ag: 0.2500 0.2500 0.2500  4 Er 3.07, 4 Pm 3.07

***

Material: TiV2Zn2
Method: DFT, PBE
State: relaxed

Summary:
- Offset from the most stable computed form: 0 meV per atom
- Formation enthalpy at 0 K: 0.15 eV per atom
- Raw total energy: -5.5873 eV per atom
- DOS at the Fermi energy: 8.95 states/eV per cell

abc: 7.5106 7.5106 2.6408
angles: 90.00 90.00 90.00
Closest atoms and distances in Å follow each position.
Element x y z (fractional)
Ti: 0.0000 0.0000 0.0000  2 Ti 2.64
Ti: 0.5000 0.5000 0.0000  2 Ti 2.64
V: 0.1079 0.3921 0.0000  1 V 2.29, 2 Zn 2.56
V: 0.3921 0.8921 0.0000  1 V 2.29, 2 Zn 2.56
V: 0.6079 0.1079 0.0000  1 V 2.29, 2 Zn 2.56
V: 0.8921 0.6079 0.0000  1 V 2.29, 2 Zn 2.56
Zn: 0.1861 0.6861 0.5000  6 V 2.56-2.64, 2 Zn 2.64
Zn: 0.3139 0.1861 0.5000  6 V 2.56-2.64, 2 Zn 2.64
Zn: 0.6861 0.8139 0.5000  6 V 2.56-2.64, 2 Zn 2.64
Zn: 0.8139 0.3139 0.5000  6 V 2.56-2.64, 2 Zn 2.64

***

Material: CsBa2Pb
Method: DFT, PBE
State: relaxed

Summary:
- Formation enthalpy at 0 K: -0.24 eV per atom
- Raw total energy: -2.3393 eV per atom
- DOS at the Fermi energy: 3.21 states/eV per cell

abc: 4.4856 4.4856 11.9685
angles: 90.00 90.00 90.00
Closest atoms and distances in Å follow each position.
Element x y z (fractional)
Cs: 0.0000 0.0000 0.0000  4 Cs 4.49
Ba: 0.5000 0.5000 0.3426  4 Pb 3.69, 1 Ba 3.77
Ba: 0.5000 0.5000 0.6574  4 Pb 3.69, 1 Ba 3.77
Pb: 0.0000 0.0000 0.5000  8 Ba 3.69